This record from the Alexandria database describes a geometry-optimized SiAsF structure. The functional is PBE. Values from VASP.

The structure in Quantum ESPRESSO input format:
```
&SYSTEM
  ibrav = 0, nat = 12, ntyp = 3
/
ATOMIC_SPECIES
As 74.92 As.upf
F 19.00 F.upf
Si 28.09 Si.upf
ATOMIC_POSITIONS crystal
As 0.7072 0.7018 0.0482
As 0.7072 0.2018 0.5482
F 0.7026 0.2203 0.0298
As 0.2072 0.7982 0.4518
Si 0.0921 0.6584 0.0916
Si 0.5921 0.8416 0.4084
Si 0.5921 0.3416 0.9084
Si 0.0921 0.1584 0.5916
As 0.2072 0.2982 0.9518
F 0.2026 0.2797 0.4702
F 0.2026 0.7797 0.9702
F 0.7026 0.7203 0.5298
CELL_PARAMETERS angstrom
-5.5058 -1.7086 1.9711
-0.0713 -5.3091 -4.8013
2.7346 -1.3382 6.4786
```

Summary:
For the uncorrected formation energy, the calculation gives -3.79 eV/f.u.

***

This record from the Alexandria database describes a geometry-optimized Ba2CoNi structure. The functional is PBE. Values from VASP.

The structure in Quantum ESPRESSO input format:
```
&SYSTEM
  ibrav = 0, nat = 4, ntyp = 3
/
ATOMIC_SPECIES
Ni 58.69 Ni.upf
Co 58.93 Co.upf
Ba 137.33 Ba.upf
ATOMIC_POSITIONS crystal
Ni 0.5000 0.5000 0.0000
Co 0.0000 0.5000 0.5000
Ba 0.5000 0.0000 0.5000
Ba 0.0000 0.0000 0.0000
CELL_PARAMETERS angstrom
-6.9666 -2.0807 4.4792
4.8604 -2.3289 -0.0058
0.2070 0.4155 3.8291
```

Summary:
As for the energy above the most stable polymorph in this dataset: 308 meV/atom. Its formation energy is 0.507 eV/atom.

***

This record from the Alexandria database describes a geometry-optimized LiAcCuN2 structure. The functional is PBE. Values from VASP.

The structure in Quantum ESPRESSO input format:
```
&SYSTEM
  ibrav = 0, nat = 10, ntyp = 4
/
ATOMIC_SPECIES
N 14.01 N.upf
Cu 63.55 Cu.upf
Ac 227.00 Ac.upf
Li 6.94 Li.upf
ATOMIC_POSITIONS crystal
N 0.2752 0.3790 0.7580
Cu 0.0000 0.5000 0.0000
N 0.7248 0.8790 0.7580
Ac 0.2598 0.7500 0.5000
N 0.2752 0.1210 0.2420
Cu 0.0000 0.0000 0.0000
Li 0.5000 0.7500 0.0000
N 0.7248 0.6210 0.2420
Li 0.5000 0.2500 0.0000
Ac 0.7402 0.2500 0.5000
CELL_PARAMETERS angstrom
4.4077 0.0000 0.0000
0.0000 5.4897 0.0000
0.0000 -2.7448 5.7886
```

Summary:
For the uncorrected formation energy, the calculation gives -1.45 eV/f.u.

***

Copy entry 3 word for word.
This record from the Alexandria database describes a geometry-optimized LiAcCuN2 structure. The functional is PBE. Values from VASP.

The structure in Quantum ESPRESSO input format:
```
&SYSTEM
  ibrav = 0, nat = 10, ntyp = 4
/
ATOMIC_SPECIES
N 14.01 N.upf
Cu 63.55 Cu.upf
Ac 227.00 Ac.upf
Li 6.94 Li.upf
ATOMIC_POSITIONS crystal
N 0.2752 0.3790 0.7580
Cu 0.0000 0.5000 0.0000
N 0.7248 0.8790 0.7580
Ac 0.2598 0.7500 0.5000
N 0.2752 0.1210 0.2420
Cu 0.0000 0.0000 0.0000
Li 0.5000 0.7500 0.0000
N 0.7248 0.6210 0.2420
Li 0.5000 0.2500 0.0000
Ac 0.7402 0.2500 0.5000
CELL_PARAMETERS angstrom
4.4077 0.0000 0.0000
0.0000 5.4897 0.0000
0.0000 -2.7448 5.7886
```

Summary:
For the uncorrected formation energy, the calculation gives -1.45 eV/f.u.